(1)
Material: W2AuSe
Method: DFT, PBEsol
State: optimized geometry

abc: 3.992 3.992 4.947
angles: 113.79 113.79 90.00
Fractional positions:
W 0.000 0.000 0.000
W 0.750 0.250 0.500
Au 0.500 0.500 0.000
Se 0.250 0.750 0.500

Calculated values
The value obtained for the formation energy from raw total energies is 0.78 eV/atom.

(2)
Material: KAlH4
Method: DFT, PBEsol
State: optimized geometry

abc: 5.498 7.014 8.470
angles: 90.00 90.00 90.00
Fractional positions:
Al 0.250 0.680 0.924
Al 0.250 0.820 0.424
Al 0.750 0.320 0.076
Al 0.750 0.180 0.576
H 0.250 0.560 0.089
H 0.489 0.819 0.914
H 0.750 0.440 0.911
H 0.250 0.959 0.268
H 0.011 0.819 0.914
H 0.011 0.681 0.414
H 0.489 0.681 0.414
H 0.511 0.319 0.586
H 0.250 0.940 0.589
H 0.750 0.060 0.411
H 0.989 0.319 0.586
H 0.511 0.181 0.086
H 0.750 0.041 0.732
H 0.250 0.541 0.768
H 0.750 0.459 0.232
H 0.989 0.181 0.086
K 0.750 0.666 0.671
K 0.250 0.166 0.829
K 0.250 0.334 0.329
K 0.750 0.834 0.171

| no. | volume (Å³/atom) | calculated total energy (eV per cell) |
| --- | --- | --- |
| 1 | 16.19 | -32.26 |
| 2 | 13.61 | -77.70 |